Entry 1:
14
Lattice="-0.758 -2.734 -3.353 9.611 2.625 -4.311 2.665 -7.444 8.344" Properties=species:S:1:pos:R:3 comment="PBE CsHo5Te8, relaxed" dft_energy_ev_per_atom=-4.897 spacegroup=Cm pbc="T T T"
Cs 4.423 -0.057 -3.829
Ho 7.650 -3.484 1.112
Ho 3.869 -4.071 -0.432
Ho 1.859 -5.983 4.458
Ho 9.660 -1.570 -3.779
Ho 1.908 -10.178 4.990
Te 2.565 -3.731 2.462
Te 8.953 -3.822 -1.783
Te 5.532 -1.603 0.057
Te 5.987 -5.951 0.622
Te 8.202 0.662 -2.393
Te 3.318 -8.214 3.071
Te 9.996 -5.273 2.041
Te 1.524 -2.280 -1.362

***

Entry 2:
14
Lattice="9.558 0.235 -0.090 -4.048 8.662 -0.090 -0.920 -1.486 9.177" Properties=species:S:1:pos:R:3 comment="PBE Cs3HoTe3, relaxed" dft_energy_ev_per_atom=-3.585 spacegroup=C2/m pbc="T T T"
Cs 3.048 4.921 3.212
Cs -2.089 6.421 4.498
Cs 6.679 0.991 4.498
Cs -0.664 6.566 -0.090
Cs 6.174 2.331 -0.090
Cs 1.542 2.490 5.785
Ho 3.772 6.091 7.711
Ho 0.818 1.321 1.286
Te 4.782 7.721 1.515
Te 5.178 3.872 6.516
Te 1.160 6.361 6.516
Te -0.588 3.539 2.481
Te 3.431 1.050 2.481
Te -0.192 -0.309 7.482

***

Entry 3:
12
Lattice="-5.208 5.880 0.001 2.447 -3.081 6.798 7.647 5.024 -1.989" Properties=species:S:1:pos:R:3 comment="PBE Cs3Ho2ThTe6, relaxed" dft_energy_ev_per_atom=-4.469 spacegroup=C2/m pbc="T T T"
Cs 5.003 0.915 4.678
Cs -0.117 6.908 0.132
Cs 2.443 3.911 2.405
Ho -0.104 -0.095 4.533
Ho -2.657 2.894 2.265
Th 0.000 0.000 0.000
Te 2.762 7.715 2.458
Te -0.534 2.998 4.553
Te 2.124 0.107 2.352
Te 5.350 4.687 4.756
Te 5.420 4.824 0.256
Te -0.464 3.136 0.054

***

Entry 4:
16
Lattice="-3.910 2.168 -7.737 -7.141 -7.213 1.588 0.841 6.127 6.452" Properties=species:S:1:pos:R:3 comment="PBE Cs4Ho3TiTe8, relaxed" dft_energy_ev_per_atom=-4.348 spacegroup=R-3m pbc="T T T"
Cs -1.955 1.084 -3.869
Cs -1.535 4.147 -0.643
Cs 0.000 0.000 0.000
Cs 0.421 3.063 3.226
Ho -5.526 -2.523 -3.075
Ho -5.105 0.541 0.151
Ho -3.150 -0.543 4.020
Ti -3.571 -3.607 0.794
Te -4.925 1.453 5.603
Te -5.367 -1.760 2.219
Te -2.807 1.660 1.884
Te -6.976 2.590 1.545
Te -3.234 -1.508 -1.242
Te -7.403 -0.578 -1.581
Te -4.844 2.842 -1.916
Te -5.285 -0.371 -5.300